(1)
Here is a relaxed Hf3CN2 crystal from the Open Quantum Materials Database. Energies are from PBE-GGA.

Cell lengths 3.2283, 3.2283, 7.8951 Å; angles 90.00, 90.00, 120.00 degrees
Space group P-3m1 (No. 164)
Unique sites:
Hf1 0.0000 0.0000 0.0000 x1
Hf2 0.3333 0.6667 0.6640 x2
C1 0.0000 0.0000 0.5000 x1
N1 0.3333 0.6667 0.1613 x2

Summary:
The value obtained for the uncorrected energy is -10.816 eV per atom. For the calculated volume, the calculation gives 71.3 Å³/cell.

(2)
Here is a relaxed Hf3C2N crystal from the Open Quantum Materials Database. Energies are from PBE-GGA.

Cell lengths 3.2592, 3.2592, 7.9781 Å; angles 90.00, 90.00, 120.00 degrees
Space group P-3m1 (No. 164)
Unique sites:
Hf1 0.0000 0.0000 0.0000 x1
Hf2 0.3333 0.6667 0.6710 x2
C1 0.3333 0.6667 0.1713 x2
N1 0.0000 0.0000 0.5000 x1

Summary:
The value obtained for the uncorrected energy is -10.712 eV per atom. For the calculated volume, the calculation gives 73.4 Å³/cell.

(3)
Here is a relaxed Hf3NiCN crystal from the Open Quantum Materials Database. Energies are from PBE-GGA.

Cell lengths 3.2425, 3.2425, 18.1787 Å; angles 90.00, 90.00, 120.00 degrees
Space group P-3m1 (No. 164)
Unique sites:
Hf1 0.0000 0.0000 0.0000 x1
Hf2 0.0000 0.0000 0.5000 x1
Hf3 0.3333 0.6667 0.1458 x2
Hf4 0.3333 0.6667 0.3550 x2
Ni1 0.0000 0.0000 0.2463 x2
C1 0.3333 0.6667 0.5759 x2
N1 0.3333 0.6667 0.9298 x2

Summary:
The value obtained for the uncorrected energy is -9.793 eV per atom. For the calculated volume, the calculation gives 165.5 Å³/cell.

(4)
Here is a relaxed Hf8P2C3N3 crystal from the Open Quantum Materials Database. Energies are from PBE-GGA.

Cell lengths 3.3181, 3.3181, 22.5185 Å; angles 90.00, 90.00, 120.00 degrees
Space group P-3m1 (No. 164)
Unique sites:
Hf1 0.0000 0.0000 0.1684 x2
Hf2 0.0000 0.0000 0.3274 x2
Hf3 0.3333 0.6667 0.5574 x2
Hf4 0.3333 0.6667 0.9416 x2
P1 0.3333 0.6667 0.7536 x2
C1 0.0000 0.0000 0.5000 x1
C2 0.3333 0.6667 0.3801 x2
N1 0.0000 0.0000 0.0000 x1
N2 0.3333 0.6667 0.1123 x2

Summary:
The value obtained for the uncorrected energy is -10.248 eV per atom. For the calculated volume, the calculation gives 214.7 Å³/cell.

(5)
Here is a relaxed Hf4P2CN crystal from the Open Quantum Materials Database. Energies are from PBE-GGA.

Cell lengths 3.3908, 3.3908, 11.9657 Å; angles 90.00, 90.00, 120.00 degrees
Space group P-3m1 (No. 164)
Unique sites:
Hf1 0.3333 0.6667 0.1040 x2
Hf2 0.3333 0.6667 0.3979 x2
P1 0.3333 0.6667 0.7471 x2
C1 0.0000 0.0000 0.0000 x1
N1 0.0000 0.0000 0.5000 x1

Summary:
The value obtained for the uncorrected energy is -9.808 eV per atom. For the calculated volume, the calculation gives 119.1 Å³/cell.

(6)
Here is a relaxed Hf3PCN crystal from the Open Quantum Materials Database. Energies are from PBE-GGA.

Cell lengths 3.3463, 3.3463, 17.2039 Å; angles 90.00, 90.00, 120.00 degrees
Space group P-3m1 (No. 164)
Unique sites:
Hf1 0.0000 0.0000 0.0000 x1
Hf2 0.0000 0.0000 0.5000 x1
Hf3 0.3333 0.6667 0.1459 x2
Hf4 0.3333 0.6667 0.3522 x2
P1 0.0000 0.0000 0.2466 x2
C1 0.3333 0.6667 0.5788 x2
N1 0.3333 0.6667 0.9262 x2

Summary:
The value obtained for the uncorrected energy is -10.093 eV per atom. For the calculated volume, the calculation gives 166.8 Å³/cell.

(7)
Here is a relaxed Hf8Pb2C3N3 crystal from the Open Quantum Materials Database. Energies are from PBE-GGA.

Cell lengths 3.2862, 3.2862, 25.3226 Å; angles 90.00, 90.00, 120.00 degrees
Space group P-3m1 (No. 164)
Unique sites:
Hf1 0.0000 0.0000 0.1506 x2
Hf2 0.0000 0.0000 0.3470 x2
Hf3 0.3333 0.6667 0.5511 x2
Hf4 0.3333 0.6667 0.9472 x2
Pb1 0.3333 0.6667 0.7513 x2
C1 0.0000 0.0000 0.5000 x1
C2 0.3333 0.6667 0.3924 x2
N1 0.0000 0.0000 0.0000 x1
N2 0.3333 0.6667 0.1007 x2

Summary:
The value obtained for the uncorrected energy is -9.779 eV per atom. For the calculated volume, the calculation gives 236.8 Å³/cell.

(8)
Here is a relaxed Hf4CS2N crystal from the Open Quantum Materials Database. Energies are from PBE-GGA.

Cell lengths 3.3623, 3.3623, 11.9576 Å; angles 90.00, 90.00, 120.00 degrees
Space group P-3m1 (No. 164)
Unique sites:
Hf1 0.3333 0.6667 0.1005 x2
Hf2 0.3333 0.6667 0.4024 x2
C1 0.0000 0.0000 0.0000 x1
S1 0.3333 0.6667 0.7463 x2
N1 0.0000 0.0000 0.5000 x1

Summary:
The value obtained for the uncorrected energy is -9.634 eV per atom. For the calculated volume, the calculation gives 117.1 Å³/cell.

(9)
Here is a relaxed Hf3SbCN crystal from the Open Quantum Materials Database. Energies are from PBE-GGA.

Cell lengths 3.3161, 3.3161, 19.2834 Å; angles 90.00, 90.00, 120.00 degrees
Space group P-3m1 (No. 164)
Unique sites:
Hf1 0.0000 0.0000 0.0000 x1
Hf2 0.0000 0.0000 0.5000 x1
Hf3 0.3333 0.6667 0.1303 x2
Hf4 0.3333 0.6667 0.3681 x2
Sb1 0.0000 0.0000 0.2481 x2
C1 0.3333 0.6667 0.5711 x2
N1 0.3333 0.6667 0.9342 x2

Summary:
The value obtained for the uncorrected energy is -9.598 eV per atom. For the calculated volume, the calculation gives 183.6 Å³/cell.

(10)
Here is a relaxed Hf3SiCN crystal from the Open Quantum Materials Database. Energies are from PBE-GGA.

Cell lengths 3.2349, 3.2349, 18.7082 Å; angles 90.00, 90.00, 120.00 degrees
Space group P-3m1 (No. 164)
Unique sites:
Hf1 0.0000 0.0000 0.0000 x1
Hf2 0.0000 0.0000 0.5000 x1
Hf3 0.3333 0.6667 0.1389 x2
Hf4 0.3333 0.6667 0.3605 x2
Si1 0.0000 0.0000 0.2490 x2
C1 0.3333 0.6667 0.5738 x2
N1 0.3333 0.6667 0.9309 x2

Summary:
The value obtained for the uncorrected energy is -9.899 eV per atom. For the calculated volume, the calculation gives 169.5 Å³/cell.

(11)
Here is a relaxed Hf3SnCN crystal from the Open Quantum Materials Database. Energies are from PBE-GGA.

Cell lengths 3.2674, 3.2674, 19.9082 Å; angles 90.00, 90.00, 120.00 degrees
Space group P-3m1 (No. 164)
Unique sites:
Hf1 0.0000 0.0000 0.0000 x1
Hf2 0.0000 0.0000 0.5000 x1
Hf3 0.3333 0.6667 0.1299 x2
Hf4 0.3333 0.6667 0.3709 x2
Sn1 0.0000 0.0000 0.2497 x2
C1 0.3333 0.6667 0.5694 x2
N1 0.3333 0.6667 0.9360 x2

Summary:
The value obtained for the uncorrected energy is -9.625 eV per atom. For the calculated volume, the calculation gives 184.1 Å³/cell.

(12)
Here is a relaxed Hf4Tl2CN crystal from the Open Quantum Materials Database. Energies are from PBE-GGA.

Cell lengths 3.3224, 3.3224, 14.6790 Å; angles 90.00, 90.00, 120.00 degrees
Space group P-3m1 (No. 164)
Unique sites:
Hf1 0.3333 0.6667 0.0824 x2
Hf2 0.3333 0.6667 0.4192 x2
Tl1 0.3333 0.6667 0.7487 x2
C1 0.0000 0.0000 0.0000 x1
N1 0.0000 0.0000 0.5000 x1

Summary:
The value obtained for the uncorrected energy is -8.537 eV per atom. For the calculated volume, the calculation gives 140.3 Å³/cell.